SnHg2Te | PBE | relaxed

Results
For the magnetization, the calculation gives 0.00 Bohr magnetons per cell. The total energy comes out at -1.85 eV/atom. As for the density of states at the Fermi level: 1.79 states/eV/f.u. The value obtained for the density is 9.4 g/cm³. The calculation puts the distance to the lowest polymorph of the same formula at 0.2014 eV/atom.

Geometry as CIF:
```
data_SnHg2Te
_cell_length_a 3.3305
_cell_length_b 3.3305
_cell_length_c 35.7875
_cell_angle_alpha 90.00
_cell_angle_beta 90.00
_cell_angle_gamma 120.00
_symmetry_space_group_name_H-M 'R -3 m'
_symmetry_Int_Tables_number 166
_symmetry_space_group_name_Hall '-R 3 2"'
loop_
_atom_site_label
_atom_site_type_symbol
_atom_site_fract_x
_atom_site_fract_y
_atom_site_fract_z
Sn1 Sn 0.0000 0.0000 0.0000
Hg1 Hg 0.0000 0.0000 0.0842
Te1 Te 0.0000 0.0000 0.5000
```